Computed, not measured: a relaxed P3Rh crystal at the PBE-GGA level of DFT.

Structure (extended XYZ):
```
4
Lattice="3.7172 0.0000 0.0000 0.0000 4.1705 0.0000 -0.7046 0.0000 3.7542" Properties=species:S:1:pos:R:3 pbc="T T T"
P 0.0000 0.0000 0.0000
P 0.5112 2.0852 2.6478
P 2.5014 2.0852 1.1064
Rh 1.5063 0.0000 1.8771
```

Results
As for the density of states at the Fermi level: 0.38 states/eV/atom. Its total energy is -5.95 eV per atom. Its density is 5.6 Mg/m³. Its energy above the most stable polymorph in this dataset is 528 meV per atom. The calculation puts the formation energy from the elements at -0.054 eV per atom.